Record 1
{
  "formula": "ErThAl2",
  "functional": "PBE-GGA",
  "state": "optimized geometry",
  "lattice_angstrom": [[5.1707, 0.0000, 0.0000], [2.5853, 4.4779, 0.0000], [2.5853, 1.4926, 4.2218]],
  "species": ["Al", "Al", "Th", "Er"],
  "fractional_positions": [[0.2500, 0.2500, 0.2500], [0.7500, 0.7500, 0.7500], [0.0000, 0.0000, 0.0000], [0.5000, 0.5000, 0.5000]],
  "polymorph_energy_mev_per_atom": 27,
  "ef_ev_per_atom": -0.282
}

***

Record 2
{
  "formula": "ErThAl",
  "functional": "PBE-GGA",
  "state": "optimized geometry",
  "lattice_angstrom": [[-1.8654, -0.7294, 2.9987], [-0.2149, -4.9252, -1.3316], [3.8876, 1.7113, 2.8346]],
  "species": ["Al", "Th", "Er"],
  "fractional_positions": [[0.0582, 0.0000, 0.0000], [0.6953, 0.3333, 0.6667], [0.2465, 0.6667, 0.3333]],
  "polymorph_energy_mev_per_atom": 129,
  "ef_ev_per_atom": -0.039
}

***

Record 3
{
  "formula": "ErThTiAl",
  "functional": "PBE-GGA",
  "state": "optimized geometry",
  "lattice_angstrom": [[5.1320, 0.0000, 0.0000], [2.5660, 4.4445, 0.0000], [2.5660, 1.4815, 4.1903]],
  "species": ["Ti", "Al", "Th", "Er"],
  "fractional_positions": [[0.2500, 0.2500, 0.2500], [0.7500, 0.7500, 0.7500], [0.0000, 0.0000, 0.0000], [0.5000, 0.5000, 0.5000]],
  "ef_ev_per_atom": -0.007
}

***

Record 4
{
  "formula": "ErTmThAl",
  "functional": "PBE-GGA",
  "state": "optimized geometry",
  "lattice_angstrom": [[-0.2236, 5.1304, -1.4668], [0.7872, 1.3543, -5.1058], [-4.0857, 1.7562, -2.9573]],
  "species": ["Tm", "Al", "Th", "Er"],
  "fractional_positions": [[0.5000, 0.5000, 0.5000], [0.0000, 0.0000, 0.0000], [0.2500, 0.2500, 0.2500], [0.7500, 0.7500, 0.7500]],
  "ef_ev_per_atom": -0.036
}